# MgV2BH

An optimized crystal structure of MgV2BH (PBE-GGA, Alexandria via LeMat-Bulk).

```
MgV2BH
1.0
4.2708 0.0000 0.0000
0.0000 3.3179 0.0000
0.0000 0.0000 4.2708
B Mg H V
1 1 1 2
Direct
0.0000 0.0000 0.0000 B
0.5000 0.5000 0.5000 Mg
0.0000 0.5000 0.0000 H
0.0000 0.0000 0.5000 V
0.5000 0.0000 0.0000 V
```

Computed properties:
E_tot: -25.7 eV for the cell shown
Fermi-level density of states: 6.1 states/eV per cell